Record 1
DFT (PBE) results for a relaxed CeDyRe crystal.

Lattice parameters (Å, degrees): 3.408 3.408 7.052 103.98 103.98 90.00
Fractional positions:
Re (0.670, 0.670, 0.341)
Ce (0.292, 0.292, 0.585)
Dy (0.037, 0.037, 0.074)

Values from the calculation:
E_tot ... -7.580 eV/atom
Formation enthalpy at 0 K ... 81 meV/atom
Energy relative to the lowest polymorph listed for this composition ... 0.00 eV per formula unit
DOS(E_F) ... 2.94 states/eV/f.u.
Volume ... 77 Å³/cell
Crystal system ... tetragonal

Record 2
DFT (PBE) results for a relaxed Mn3Sb5 crystal.

Lattice parameters (Å, degrees): 6.891 6.891 4.128 90.00 90.00 109.63
Each line ends with the local moment (μB).
Fractional positions:
Mn (0.500, 0.500, 0.000)  3.33
Mn (0.696, 0.304, 0.500)  3.57
Mn (0.304, 0.696, 0.500)  3.57
Sb (0.000, 0.000, 0.000)  0.01
Sb (0.000, 0.500, 0.000)  -0.08
Sb (0.500, 0.000, 0.000)  -0.08
Sb (0.283, 0.283, 0.500)  -0.08
Sb (0.717, 0.717, 0.500)  -0.08

Values from the calculation:
E_tot ... -5.710 eV/atom
Energy relative to the lowest polymorph listed for this composition ... 1.63 eV per formula unit
DOS(E_F) ... 4.17 states/eV/f.u.
Energy relative to the elements, uncorrected ... 0.306 eV/atom
Volume ... 185 Å³/cell
Crystal system ... orthorhombic

Record 3
DFT (PBE) results for a relaxed NaTaRh2W crystal.

Lattice parameters (Å, degrees): 4.662 4.844 4.662 90.00 90.00 90.00
Each line ends with the local moment (μB).
Fractional positions:
Na (0.000, 0.500, 0.000)  0.04
Rh (0.000, 0.000, 0.500)  -0.02
Rh (0.500, 0.000, 0.000)  0.00
W (0.000, 0.000, 0.000)  0.75
Ta (0.500, 0.500, 0.500)  -1.02

Values from the calculation:
E_tot ... -6.397 eV/atom
Formation enthalpy at 0 K ... 1769 meV/atom
DOS(E_F) ... 5.08 states/eV/f.u.
Volume ... 105 Å³/cell
Crystal system ... tetragonal

Record 4
DFT (PBE) results for a relaxed Al2NiN crystal.

Lattice parameters (Å, degrees): 5.524 5.524 5.172 57.73 57.73 90.00
Fractional positions:
Ni (0.000, 0.000, 0.000)
Ni (0.750, 0.250, 0.500)
Al (0.551, 0.125, 0.250)
Al (0.199, 0.625, 0.250)
Al (0.375, 0.449, 0.750)
Al (0.875, 0.801, 0.750)
N (0.500, 0.500, 0.000)
N (0.250, 0.750, 0.500)

Values from the calculation:
E_tot ... -5.774 eV/atom
DOS(E_F) ... 1.89 states/eV/f.u.
Energy relative to the elements, uncorrected ... -0.376 eV/atom
Volume ... 103 Å³/cell
Crystal system ... tetragonal